TeRh2CCl | PBE | optimized geometry

```
data_TeRh2CCl
_space_group_name_H-M_alt 'P 4/m m m'
_space_group_IT_number 123
_space_group_name_Hall '-P 4 2'
_cell_length_a 5.0578
_cell_length_b 5.0578
_cell_length_c 4.1812
_cell_angle_alpha 90.00
_cell_angle_beta 90.00
_cell_angle_gamma 90.00
loop_
_atom_site_label
_atom_site_fract_x
_atom_site_fract_y
_atom_site_fract_z
Te1 0.0000 0.0000 0.0000
Rh1 0.0000 0.5000 0.0000
C1 0.0000 0.0000 0.5000
Cl1 0.5000 0.5000 0.5000
```

Rh2WCCl | PBE | optimized geometry

```
data_Rh2WCCl
_space_group_name_H-M_alt 'P 4/m m m'
_space_group_IT_number 123
_space_group_name_Hall '-P 4 2'
_cell_length_a 4.7900
_cell_length_b 4.7900
_cell_length_c 4.5434
_cell_angle_alpha 90.00
_cell_angle_beta 90.00
_cell_angle_gamma 90.00
loop_
_atom_site_label
_atom_site_fract_x
_atom_site_fract_y
_atom_site_fract_z
Rh1 0.0000 0.5000 0.0000
W1 0.0000 0.0000 0.0000
C1 0.5000 0.5000 0.5000
Cl1 0.0000 0.0000 0.5000
```

For reference, uncorrected energy by record: -4.181, -5.547 eV per atom.